Record 1
Compound: TbSmCo
Source: Alexandria
Functional: PBE-GGA
Structure: optimized geometry

Values from the calculation:
ΔE to the lowest computed polymorph (meV/atom): 94
Calculated volume (Å³ per cell): 83.0
Formation energy from the elements (meV/atom): -32
DOS(E_F) (states/eV/atom): 0.92
Total magnetization (μB/f.u.): 0.0

```
data_TbSmCo
_chemical_formula_sum 'Tb1 Sm1 Co1'
_symmetry_space_group_name_H-M 'P 1'
_symmetry_Int_Tables_number 1
_symmetry_space_group_name_Hall 'P 1'
_cell_length_a 3.9292
_cell_length_b 3.9292
_cell_length_c 6.2104
_cell_angle_alpha 90.00
_cell_angle_beta 90.00
_cell_angle_gamma 120.00
loop_
_atom_site_label
_atom_site_type_symbol
_atom_site_fract_x
_atom_site_fract_y
_atom_site_fract_z
Co1 Co 0.6667 0.3333 0.3358
Tb1 Tb 0.3333 0.6667 0.5640
Sm1 Sm 0.0000 0.0000 0.1002
```

---

Record 2
Compound: TbSmCo4
Source: Alexandria
Functional: PBE-GGA
Structure: optimized geometry

Values from the calculation:
Calculated volume (Å³ per cell): 94.4
Formation energy from the elements (meV/atom): -137
DOS(E_F) (states/eV/atom): 1.38
Total magnetization (μB/f.u.): 3.8

```
data_TbSmCo4
_chemical_formula_sum 'Tb1 Sm1 Co4'
_symmetry_space_group_name_H-M 'P 1'
_symmetry_Int_Tables_number 1
_symmetry_space_group_name_Hall 'P 1'
_cell_length_a 5.1102
_cell_length_b 5.1102
_cell_length_c 5.1102
_cell_angle_alpha 60.00
_cell_angle_beta 60.00
_cell_angle_gamma 60.00
loop_
_atom_site_label
_atom_site_type_symbol
_atom_site_fract_x
_atom_site_fract_y
_atom_site_fract_z
Co1 Co 0.6252 0.6252 0.1243
Co2 Co 0.6252 0.1243 0.6252
Co3 Co 0.6252 0.6252 0.6252
Co4 Co 0.1243 0.6252 0.6252
Tb1 Tb 0.0000 0.0000 0.0000
Sm1 Sm 0.2500 0.2500 0.2500
```

---

Record 3
Compound: TbSm3Co8
Source: Alexandria
Functional: PBE-GGA
Structure: optimized geometry

Values from the calculation:
Calculated volume (Å³ per cell): 190.0
Formation energy from the elements (meV/atom): -114
DOS(E_F) (states/eV/atom): 1.47
Total magnetization (μB/f.u.): 7.6

```
data_TbSm3Co8
_chemical_formula_sum 'Tb1 Sm3 Co8'
_symmetry_space_group_name_H-M 'P 1'
_symmetry_Int_Tables_number 1
_symmetry_space_group_name_Hall 'P 1'
_cell_length_a 5.1214
_cell_length_b 5.1214
_cell_length_c 8.8735
_cell_angle_alpha 73.23
_cell_angle_beta 73.23
_cell_angle_gamma 60.00
loop_
_atom_site_label
_atom_site_type_symbol
_atom_site_fract_x
_atom_site_fract_y
_atom_site_fract_z
Tb1 Tb 0.8751 0.8751 0.3747
Sm1 Sm 0.3749 0.3749 0.8753
Sm2 Sm 0.0000 0.0000 0.0000
Sm3 Sm 0.5000 0.5000 0.5000
Co1 Co 0.9358 0.4373 0.1896
Co2 Co 0.4399 0.9373 0.6855
Co3 Co 0.4373 0.4373 0.1896
Co4 Co 0.9373 0.9373 0.6855
Co5 Co 0.1877 0.1877 0.4368
Co6 Co 0.6874 0.6874 0.9377
Co7 Co 0.4373 0.9358 0.1896
Co8 Co 0.9373 0.4399 0.6855
```

---

Record 4
Compound: TbSm2Co6
Source: Alexandria
Functional: PBE-GGA
Structure: optimized geometry

Values from the calculation:
Calculated volume (Å³ per cell): 160.4
Formation energy from the elements (meV/atom): -133
DOS(E_F) (states/eV/atom): 0.76
Total magnetization (μB/f.u.): 4.5

```
data_TbSm2Co6
_chemical_formula_sum 'Tb1 Sm2 Co6'
_symmetry_space_group_name_H-M 'P 1'
_symmetry_Int_Tables_number 1
_symmetry_space_group_name_Hall 'P 1'
_cell_length_a 4.1241
_cell_length_b 6.7020
_cell_length_c 6.7021
_cell_angle_alpha 120.00
_cell_angle_beta 90.00
_cell_angle_gamma 90.00
loop_
_atom_site_label
_atom_site_type_symbol
_atom_site_fract_x
_atom_site_fract_y
_atom_site_fract_z
Tb1 Tb 0.0000 0.0000 0.0000
Sm1 Sm 0.0000 0.3333 0.6667
Sm2 Sm 0.0000 0.6667 0.3333
Co1 Co 0.5000 0.3324 0.3324
Co2 Co 0.5000 0.6676 0.6676
Co3 Co 0.5000 0.0000 0.6676
Co4 Co 0.5000 0.6676 0.0000
Co5 Co 0.5000 0.3324 0.0000
Co6 Co 0.5000 0.0000 0.3324
```

---

Record 5
Compound: Tb3SmCo2
Source: Alexandria
Functional: PBE-GGA
Structure: optimized geometry

Values from the calculation:
ΔE to the lowest computed polymorph (meV/atom): 0
Calculated volume (Å³ per cell): 301.4
Formation energy from the elements (meV/atom): -124
DOS(E_F) (states/eV/atom): 1.28
Total magnetization (μB/f.u.): 0.0

```
data_Tb3SmCo2
_chemical_formula_sum 'Tb6 Sm2 Co4'
_symmetry_space_group_name_H-M 'P 1'
_symmetry_Int_Tables_number 1
_symmetry_space_group_name_Hall 'P 1'
_cell_length_a 3.7514
_cell_length_b 8.5018
_cell_length_c 9.9894
_cell_angle_alpha 78.89
_cell_angle_beta 79.18
_cell_angle_gamma 77.25
loop_
_atom_site_label
_atom_site_type_symbol
_atom_site_fract_x
_atom_site_fract_y
_atom_site_fract_z
Tb1 Tb 0.1587 0.9321 0.7506
Tb2 Tb 0.8413 0.0679 0.2494
Tb3 Tb 0.4157 0.2236 0.9450
Tb4 Tb 0.5843 0.7764 0.0550
Tb5 Tb 0.5849 0.2704 0.5598
Tb6 Tb 0.4151 0.7296 0.4402
Sm1 Sm 0.8427 0.5676 0.7470
Sm2 Sm 0.1573 0.4324 0.2530
Co1 Co 0.2351 0.5789 0.9509
Co2 Co 0.7649 0.4211 0.0491
Co3 Co 0.7661 0.9204 0.5473
Co4 Co 0.2339 0.0796 0.4527
```

---

Record 6
Compound: Tb4SmCo
Source: Alexandria
Functional: PBE-GGA
Structure: optimized geometry

Values from the calculation:
Calculated volume (Å³ per cell): 168.2
Formation energy from the elements (meV/atom): -21
DOS(E_F) (states/eV/atom): 1.31
Total magnetization (μB/f.u.): 0.0

```
data_Tb4SmCo
_chemical_formula_sum 'Tb4 Sm1 Co1'
_symmetry_space_group_name_H-M 'P 1'
_symmetry_Int_Tables_number 1
_symmetry_space_group_name_Hall 'P 1'
_cell_length_a 6.2318
_cell_length_b 3.5858
_cell_length_c 8.6306
_cell_angle_alpha 78.03
_cell_angle_beta 106.37
_cell_angle_gamma 73.27
loop_
_atom_site_label
_atom_site_type_symbol
_atom_site_fract_x
_atom_site_fract_y
_atom_site_fract_z
Tb1 Tb 0.5478 0.1255 0.2038
Tb2 Tb 0.1318 0.2441 0.3808
Tb3 Tb 0.8682 0.7559 0.6192
Tb4 Tb 0.4522 0.8745 0.7962
Sm1 Sm 0.0000 0.0000 0.0000
Co1 Co 0.5000 0.5000 0.5000
```

---

Record 7
Compound: Tb3SmCo
Source: Alexandria
Functional: PBE-GGA
Structure: optimized geometry

Values from the calculation:
ΔE to the lowest computed polymorph (meV/atom): 0
Calculated volume (Å³ per cell): 286.1
Formation energy from the elements (meV/atom): -94
DOS(E_F) (states/eV/atom): 1.03
Total magnetization (μB/f.u.): 0.0

```
data_Tb3SmCo
_chemical_formula_sum 'Tb6 Sm2 Co2'
_symmetry_space_group_name_H-M 'P 1'
_symmetry_Int_Tables_number 1
_symmetry_space_group_name_Hall 'P 1'
_cell_length_a 7.2059
_cell_length_b 7.2059
_cell_length_c 7.1746
_cell_angle_alpha 108.62
_cell_angle_beta 110.27
_cell_angle_gamma 109.70
loop_
_atom_site_label
_atom_site_type_symbol
_atom_site_fract_x
_atom_site_fract_y
_atom_site_fract_z
Tb1 Tb 0.8409 0.0470 0.2950
Tb2 Tb 0.2480 0.4541 0.2950
Tb3 Tb 0.7520 0.5459 0.7050
Tb4 Tb 0.7056 0.4531 0.1587
Tb5 Tb 0.1591 0.9530 0.7050
Tb6 Tb 0.2944 0.5469 0.8413
Sm1 Sm 0.7096 0.0473 0.7569
Sm2 Sm 0.2904 0.9527 0.2431
Co1 Co 0.6312 0.7486 0.3797
Co2 Co 0.3688 0.2514 0.6203
```

---

Record 8
Compound: TbSmCo
Source: Alexandria
Functional: PBE-GGA
Structure: optimized geometry

Values from the calculation:
ΔE to the lowest computed polymorph (meV/atom): 115
Calculated volume (Å³ per cell): 75.3
Formation energy from the elements (meV/atom): -11
DOS(E_F) (states/eV/atom): 1.00
Total magnetization (μB/f.u.): 0.0

```
data_TbSmCo
_chemical_formula_sum 'Tb1 Sm1 Co1'
_symmetry_space_group_name_H-M 'P 1'
_symmetry_Int_Tables_number 1
_symmetry_space_group_name_Hall 'P 1'
_cell_length_a 4.7402
_cell_length_b 4.7402
_cell_length_c 4.7402
_cell_angle_alpha 60.00
_cell_angle_beta 60.00
_cell_angle_gamma 60.00
loop_
_atom_site_label
_atom_site_type_symbol
_atom_site_fract_x
_atom_site_fract_y
_atom_site_fract_z
Co1 Co 0.2500 0.2500 0.2500
Tb1 Tb 0.0000 0.0000 0.0000
Sm1 Sm 0.5000 0.5000 0.5000
```

---

Record 9
Compound: TbSm12Co6
Source: Alexandria
Functional: PBE-GGA
Structure: optimized geometry

Values from the calculation:
Calculated volume (Å³ per cell): 495.1
Formation energy from the elements (meV/atom): -75
DOS(E_F) (states/eV/atom): 0.93
Total magnetization (μB/f.u.): 0.0

```
data_TbSm12Co6
_chemical_formula_sum 'Tb1 Sm12 Co6'
_symmetry_space_group_name_H-M 'P 1'
_symmetry_Int_Tables_number 1
_symmetry_space_group_name_Hall 'P 1'
_cell_length_a 8.6319
_cell_length_b 8.6319
_cell_length_c 8.6319
_cell_angle_alpha 109.47
_cell_angle_beta 109.47
_cell_angle_gamma 109.47
loop_
_atom_site_label
_atom_site_type_symbol
_atom_site_fract_x
_atom_site_fract_y
_atom_site_fract_z
Tb1 Tb 0.0000 0.0000 0.0000
Sm1 Sm 0.3096 0.1150 0.8054
Sm2 Sm 0.3096 0.5042 0.1946
Sm3 Sm 0.6904 0.4958 0.8054
Sm4 Sm 0.6904 0.8850 0.1946
Sm5 Sm 0.1150 0.8054 0.3096
Sm6 Sm 0.5042 0.1946 0.3096
Sm7 Sm 0.4958 0.8054 0.6904
Sm8 Sm 0.8850 0.1946 0.6904
Sm9 Sm 0.8054 0.3096 0.1150
Sm10 Sm 0.1946 0.3096 0.5042
Sm11 Sm 0.8054 0.6904 0.4958
Sm12 Sm 0.1946 0.6904 0.8850
Co1 Co 0.3880 0.5000 0.8880
Co2 Co 0.6120 0.5000 0.1120
Co3 Co 0.5000 0.8880 0.3880
Co4 Co 0.5000 0.1120 0.6120
Co5 Co 0.8880 0.3880 0.5000
Co6 Co 0.1120 0.6120 0.5000
```

---

Record 10
Compound: TbSmCo
Source: Alexandria
Functional: PBE-GGA
Structure: optimized geometry

Values from the calculation:
ΔE to the lowest computed polymorph (meV/atom): 34
Calculated volume (Å³ per cell): 155.7
Formation energy from the elements (meV/atom): -92
DOS(E_F) (states/eV/atom): 1.35
Total magnetization (μB/f.u.): 0.0

```
data_TbSmCo
_chemical_formula_sum 'Tb2 Sm2 Co2'
_symmetry_space_group_name_H-M 'P 1'
_symmetry_Int_Tables_number 1
_symmetry_space_group_name_Hall 'P 1'
_cell_length_a 3.8059
_cell_length_b 5.7681
_cell_length_c 7.1164
_cell_angle_alpha 94.55
_cell_angle_beta 90.00
_cell_angle_gamma 90.00
loop_
_atom_site_label
_atom_site_type_symbol
_atom_site_fract_x
_atom_site_fract_y
_atom_site_fract_z
Tb1 Tb 0.7500 0.6547 0.1665
Tb2 Tb 0.2500 0.3453 0.8335
Sm1 Sm 0.7500 0.8223 0.6757
Sm2 Sm 0.2500 0.1777 0.3243
Co1 Co 0.7500 0.1293 0.0399
Co2 Co 0.2500 0.8707 0.9601
```

---

Record 11
Compound: Tb4SmCo2
Source: Alexandria
Functional: PBE-GGA
Structure: optimized geometry

Values from the calculation:
Calculated volume (Å³ per cell): 363.6
Formation energy from the elements (meV/atom): -66
DOS(E_F) (states/eV/atom): 1.32
Total magnetization (μB/f.u.): 0.0

```
data_Tb4SmCo2
_chemical_formula_sum 'Tb8 Sm2 Co4'
_symmetry_space_group_name_H-M 'P 1'
_symmetry_Int_Tables_number 1
_symmetry_space_group_name_Hall 'P 1'
_cell_length_a 6.5200
_cell_length_b 8.7804
_cell_length_c 6.9193
_cell_angle_alpha 113.39
_cell_angle_beta 90.00
_cell_angle_gamma 90.00
loop_
_atom_site_label
_atom_site_type_symbol
_atom_site_fract_x
_atom_site_fract_y
_atom_site_fract_z
Co1 Co 0.2500 0.3381 0.9616
Co2 Co 0.7500 0.6619 0.0384
Co3 Co 0.7500 0.3384 0.3759
Co4 Co 0.2500 0.6616 0.6241
Tb1 Tb 0.5001 0.4328 0.7159
Tb2 Tb 0.2500 0.2117 0.2340
Tb3 Tb 0.7500 0.7883 0.7660
Tb4 Tb 0.9999 0.4328 0.7159
Tb5 Tb 0.7500 0.0007 0.3339
Tb6 Tb 0.0001 0.5672 0.2841
Tb7 Tb 0.4999 0.5672 0.2841
Tb8 Tb 0.2500 0.9993 0.6661
Sm1 Sm 0.2500 0.7924 0.0269
Sm2 Sm 0.7500 0.2076 0.9731
```